DFT (PBE) results for a geometry-optimized Ac2Ga3CoIr4 structure.

Calculated values
**Raw total energy**: -6.537 eV/atom
**Energy of formation from the pure elements**: -0.55 eV/atom
**Fermi-level density of states**: 6.9 states/eV/f.u.

a b c (Å): 4.346 4.346 10.377
angles (deg): 90.00 90.00 90.00
Positions (direct):
Ac (0.000, 0.500, 0.248)
Ac (0.500, 0.000, 0.752)
Ga (0.000, 0.500, 0.876)
Ga (0.500, 0.000, 0.124)
Ga (0.500, 0.500, 0.500)
Co (0.000, 0.000, 0.500)
Ir (0.000, 0.000, 0.000)
Ir (0.000, 0.500, 0.628)
Ir (0.500, 0.000, 0.372)
Ir (0.500, 0.500, 0.000)